No. 1
Material: Mg3Zn2Pd
Method: DFT, PBE-GGA
State: relaxed

Unit cell a=3.207 b=3.207 c=10.123 alpha=90.00 beta=90.00 gamma=90.00
Positions (direct):
Zn (0.500, 0.500, 0.823)
Mg (0.000, 0.000, 0.000)
Mg (0.000, 0.000, 0.348)
Zn (0.500, 0.500, 0.177)
Mg (0.000, 0.000, 0.652)
Pd (0.500, 0.500, 0.500)

symmetry: P4/mmm
crystal system: tetragonal
raw total energy: -0.1772 Ry per atom
DOS(E_F): 0.163 states/eV/atom

No. 2
Material: Pr5Dy2Er4
Method: DFT, PBE-GGA
State: relaxed

Unit cell a=12.057 b=12.057 c=9.402 alpha=67.43 beta=67.43 gamma=17.29
Positions (direct):
Pr (0.865, 0.865, 0.066)
Pr (0.887, 0.887, 0.424)
Pr (0.135, 0.135, 0.934)
Er (0.954, 0.954, 0.700)
Er (0.314, 0.314, 0.824)
Dy (0.266, 0.266, 0.345)
Pr (0.500, 0.500, 0.000)
Pr (0.113, 0.113, 0.576)
Dy (0.734, 0.734, 0.655)
Er (0.686, 0.686, 0.176)
Er (0.046, 0.046, 0.300)

symmetry: C2/m
crystal system: monoclinic
raw total energy: -0.3330 Ry per atom
DOS(E_F): 1.321 states/eV/atom

No. 3
Material: Pm5Se5S
Method: DFT, PBE-GGA
State: relaxed

Unit cell a=5.875 b=7.224 c=8.267 alpha=106.66 beta=90.00 gamma=113.99
Positions (direct):
S (0.000, 0.000, 0.000)
Se (0.332, 0.664, 0.167)
Pm (0.161, 0.322, 0.329)
Se (0.669, 0.338, 0.334)
Pm (0.158, 0.315, 0.832)
Se (0.668, 0.336, 0.833)
Se (0.331, 0.662, 0.666)
Pm (0.842, 0.685, 0.168)
Pm (0.500, 0.000, 0.000)
Pm (0.839, 0.678, 0.671)
Se (0.000, 0.000, 0.500)

formation energy (no corrections): -1.918 eV/atom
symmetry: C2/m
crystal system: monoclinic
raw total energy: -0.4437 Ry per atom
DOS(E_F): 0.298 states/eV/atom

No. 4
Material: Cs2RbNa2
Method: DFT, PBE-GGA
State: relaxed

Unit cell a=6.551 b=8.535 c=8.535 alpha=64.62 beta=67.44 gamma=67.44
Positions (direct):
Rb (0.500, 0.500, 0.000)
Na (0.000, 0.802, 0.698)
Cs (0.706, 0.794, 0.294)
Cs (0.294, 0.206, 0.706)
Na (0.000, 0.198, 0.302)

symmetry: Immm
crystal system: orthorhombic
raw total energy: -0.0763 Ry per atom
DOS(E_F): 0.825 states/eV/atom

No. 5
Material: AsI3
Method: DFT, PBE-GGA
State: relaxed

Unit cell a=5.781 b=7.844 c=7.837 alpha=90.00 beta=90.00 gamma=90.00
Positions (direct):
I (0.500, 0.322, 0.323)
As (0.500, 0.500, 0.000)
As (0.500, 0.000, 0.500)
I (0.500, 0.678, 0.677)
I (0.500, 0.822, 0.177)
I (0.500, 0.178, 0.823)
I (0.000, 0.500, 0.000)
I (0.000, 0.000, 0.500)

formation energy (no corrections): -0.001 eV/atom
symmetry: P4/mbm
crystal system: tetragonal
raw total energy: -0.1710 Ry per atom
DOS(E_F): 0.222 states/eV/atom

No. 6
Material: SmErTh2
Method: DFT, PBE-GGA
State: relaxed

Unit cell a=5.668 b=5.668 c=5.668 alpha=60.00 beta=60.00 gamma=60.00
Positions (direct):
Er (0.500, 0.500, 0.500)
Th (0.750, 0.750, 0.750)
Sm (0.000, 0.000, 0.000)
Th (0.250, 0.250, 0.250)

symmetry: Fm-3m
crystal system: cubic
raw total energy: -0.4311 Ry per atom
DOS(E_F): 1.648 states/eV/atom